This record from Alexandria describes a relaxed HoAgSnRh crystal. The functional is PBE-GGA.

Summary:
Total moment: 0.00 μB/f.u.
DOS at the Fermi energy: 11.68 states/eV/cell
Final energy: -5.225 eV per atom

Cell and atoms, written as CIF:
```
data_HoAgSnRh
_cell_length_a 6.810
_cell_length_b 6.810
_cell_length_c 6.810
_cell_angle_alpha 90.00
_cell_angle_beta 90.00
_cell_angle_gamma 90.00
_space_group_name_H-M_alt 'F -4 3 m'
_space_group_IT_number 216
_space_group_name_Hall 'F -4 2 3'
loop_
_atom_site_label
_atom_site_type_symbol
_atom_site_fract_x
_atom_site_fract_y
_atom_site_fract_z
_atom_site_occupancy
Ho1 Ho 0.000 0.000 0.000 1
Ag1 Ag 0.250 0.250 0.250 1
Sn1 Sn 0.000 0.000 0.500 1
Rh1 Rh 0.250 0.250 0.750 1
```

=====

This record from Alexandria describes a relaxed Ho4TlAg2Rh crystal. The functional is PBE-GGA.

Summary:
Total moment: 0.00 μB/f.u.
DOS at the Fermi energy: 9.87 states/eV/cell
Final energy: -4.710 eV per atom

Cell and atoms, written as CIF:
```
data_Ho4TlAg2Rh
_cell_length_a 5.1134
_cell_length_b 5.1134
_cell_length_c 24.8211
_cell_angle_alpha 90.00
_cell_angle_beta 90.00
_cell_angle_gamma 120.00
_space_group_name_H-M_alt 'R -3 m'
_space_group_IT_number 166
_space_group_name_Hall '-R 3 2"'
loop_
_atom_site_label
_atom_site_type_symbol
_atom_site_fract_x
_atom_site_fract_y
_atom_site_fract_z
_atom_site_occupancy
Ho1 Ho 0.0000 0.0000 0.1150 1
Ho2 Ho 0.0000 0.0000 0.3680 1
Tl1 Tl 0.0000 0.0000 0.5000 1
Ag1 Ag 0.0000 0.0000 0.2433 1
Rh1 Rh 0.0000 0.0000 0.0000 1
```

=====

This record from Alexandria describes a relaxed Ho5Tl2AgRh2 crystal. The functional is PBE-GGA.

Summary:
Total moment: 0.00 μB/f.u.
DOS at the Fermi energy: 8.06 states/eV/cell
Final energy: -5.043 eV per atom

Cell and atoms, written as CIF:
```
data_Ho5Tl2AgRh2
_cell_length_a 11.719
_cell_length_b 11.719
_cell_length_c 3.627
_cell_angle_alpha 90.00
_cell_angle_beta 90.00
_cell_angle_gamma 90.00
_space_group_name_H-M_alt 'P 4/m b m'
_space_group_IT_number 127
_space_group_name_Hall '-P 4 2ab'
loop_
_atom_site_label
_atom_site_type_symbol
_atom_site_fract_x
_atom_site_fract_y
_atom_site_fract_z
_atom_site_occupancy
Ho1 Ho 0.000 0.500 0.000 1
Ho2 Ho 0.077 0.202 0.000 1
Tl1 Tl 0.172 0.672 0.500 1
Ag1 Ag 0.000 0.000 0.500 1
Rh1 Rh 0.133 0.367 0.500 1
```